1.
LiCrCu2 | SCAN | PBEsol geometry

Geometry as POSCAR:
```
LiCrCu2
1.0
-2.0220 -1.1001 -0.6574
1.2282 -2.0140 -0.4077
-1.2450 -2.3204 7.7125
Cr Cu Li
1 2 1
direct
0.5000 0.5000 0.7643 Cr
0.0000 0.0000 0.0056 Cu
0.5000 0.5000 0.2397 Cu
0.0000 0.0000 0.4903 Li
```

Computed properties:
Energy relative to the elements: 1.1 eV/f.u.
Space group: P4mm, No. 99



2.
LaSNO2 | SCAN | PBEsol geometry

Geometry as POSCAR:
```
LaSNO2
1.0
4.2454 0.0000 0.0000
0.0000 4.2454 0.0000
0.0000 0.0000 5.1807
S N O La
1 1 2 1
direct
0.5000 0.5000 0.5000 S
0.0000 0.0000 0.5000 N
0.0000 0.5000 0.0000 O
0.5000 0.0000 0.0000 O
0.0000 0.0000 0.0000 La
```

Computed properties:
Space group: P4/mmm, No. 123
Raw formation energy: 0.1307 eV/atom



3.
NdLu3 | SCAN | PBEsol geometry

Geometry as POSCAR:
```
NdLu3
1.0
-0.2611 -5.4780 0.4810
6.7167 -0.4897 -1.9315
-1.6568 0.6738 6.7739
Nd Lu
2 6
direct
0.2500 0.6667 0.3333 Nd
0.7500 0.3333 0.6667 Nd
0.2500 0.1648 0.8352 Lu
0.7500 0.3296 0.1648 Lu
0.7500 0.8352 0.6704 Lu
0.2500 0.1648 0.3296 Lu
0.2500 0.6704 0.8352 Lu
0.7500 0.8352 0.1648 Lu
```

Computed properties:
Energy relative to the elements: 0.1 eV/f.u.
Space group: P6_3/mmc, No. 194



4.
KCa2As | SCAN | PBEsol geometry

Geometry as POSCAR:
```
KCa2As
1.0
-3.3713 1.6114 -0.4182
-1.5735 -3.3929 -0.3889
-1.5051 -0.4815 10.2786
As Ca K
1 2 1
direct
0.5000 0.5000 0.5000 As
0.0000 0.0004 0.3549 Ca
0.0000 0.9996 0.6451 Ca
0.5000 0.5000 0.0000 K
```

Computed properties:
Energy relative to the elements: -2.2 eV/f.u.
Space group: P4/mmm, No. 123



5.
Cr4ReRu | SCAN | PBEsol geometry

Geometry as POSCAR:
```
Cr4ReRu
1.0
-2.9348 3.5704 0.7037
-2.1730 0.4639 4.1133
1.1933 3.4709 2.8957
Cr Re Ru
4 1 1
direct
0.3758 0.3758 0.3758 Cr
0.3758 0.3758 0.8727 Cr
0.8727 0.3758 0.3758 Cr
0.3758 0.8727 0.3758 Cr
0.7500 0.7500 0.7500 Re
0.0000 0.0000 0.0000 Ru
```

Computed properties:
Energy relative to the elements: 0.2 eV/f.u.
Space group: F-43m, No. 216



6.
LiAlGe | SCAN | PBEsol geometry

Geometry as POSCAR:
```
LiAlGe
1.0
4.2106 0.0000 0.0000
2.1053 3.6465 0.0000
2.1053 1.2155 3.4379
Ge Al Li
1 1 1
direct
0.2500 0.2500 0.2500 Ge
0.0000 0.0000 0.0000 Al
0.5000 0.5000 0.5000 Li
```

Computed properties:
Energy relative to the elements: -1.0 eV/f.u.
Space group: F-43m, No. 216



7.
TcSb7 | SCAN | PBEsol geometry

Geometry as POSCAR:
```
TcSb7
1.0
6.4712 0.0000 0.0000
3.2356 5.6043 0.0000
3.2356 1.8681 5.2837
Sb Tc
7 1
direct
0.0000 0.0000 0.5000 Sb
0.0000 0.5000 0.0000 Sb
0.5000 0.0000 0.0000 Sb
0.5000 0.5000 0.0000 Sb
0.5000 0.0000 0.5000 Sb
0.0000 0.5000 0.5000 Sb
0.5000 0.5000 0.5000 Sb
0.0000 0.0000 0.0000 Tc
```

Computed properties:
Space group: Fm-3m, No. 225
Raw formation energy: 0.5921 eV/atom



8.
Sb2HRuI | SCAN | PBEsol geometry

Geometry as POSCAR:
```
Sb2HRuI
1.0
4.9567 0.0000 0.0000
0.0000 4.9567 0.0000
0.0000 0.0000 5.7622
I Sb H Ru
1 2 1 1
direct
0.0000 0.0000 0.5000 I
0.0000 0.5000 0.0000 Sb
0.5000 0.0000 0.0000 Sb
0.5000 0.5000 0.5000 H
0.0000 0.0000 0.0000 Ru
```

Computed properties:
Uncorrected energy: -29.146 eV per atom
Space group: P4/mmm, No. 123



Calculated density (g/cm³)
6.61; 3.86; 9.50; 2.19; 11.38; 3.35; 8.24; 5.54
Density of states at the Fermi level (states/eV/atom)
0.814; 0.614; 1.502; 0.535; 1.015; 0.014; 0.676; 0.492